A plane-wave DFT calculation with GGA-PBE was carried out for crystalline Pm2RuBr at its relaxed geometry.

Results
- Formation energy without anion corrections: -753 meV per atom
- Space-group type: P-1, No. 2
- Relative energy among the computed polymorphs: 0.00 eV/f.u.
- V: 27.49 A^3/atom

Unit cell a=3.7146 b=4.1277 c=8.2806 alpha=102.89 beta=90.14 gamma=116.52
Fractional coordinates of all 4 atoms:
Pm 0.2407 0.4790 0.2991
Pm 0.7593 0.5210 0.7009
Ru 0.0000 0.0000 0.5000
Br 0.5000 0.0000 0.0000